Computed, not measured: a relaxed Th3Ga2Ni7 crystal at the PBE-GGA level of DFT.

Summary:
**V**: 206.9 Å³/cell
**Calculated formation energy**: -0.349 eV per atom
**Total magnetic moment**: 0.0 μB/f.u.

a b c (Å): 13.4133 13.4133 13.4133
angles (deg): 162.97 162.97 24.17
With the nearest neighbours (Å) after each atom.
Fractional positions:
Th 0.0000 0.0000 0.0000  12 Ni 2.77-2.81
Th 0.1743 0.1743 0.0000  5 Ni 2.83-3.03, 4 Ga 3.11
Th 0.8257 0.8257 0.0000  5 Ni 2.83-3.03, 4 Ga 3.11
Ga 0.3766 0.3766 0.0000  5 Ni 2.37-2.48
Ga 0.6234 0.6234 0.0000  5 Ni 2.37-2.48
Ni 0.0738 0.5738 0.5000  2 Ga 2.37
Ni 0.2822 0.2822 0.0000  1 Ga 2.48
Ni 0.4262 0.9262 0.5000  2 Ga 2.37
Ni 0.5000 0.5000 0.0000  8 Ni 2.77, 4 Th 2.81
Ni 0.5738 0.0738 0.5000  2 Ga 2.37
Ni 0.7178 0.7178 0.0000  1 Ga 2.48
Ni 0.9262 0.4262 0.5000  2 Ga 2.37